--- A ---
A plane-wave DFT calculation with PBE-GGA was carried out for Tc3GeRh after structural relaxation.

SG: No. 221

abc: 4.672 4.672 4.672
angles: 90.00 90.00 90.00
Fractional positions:
Tc: 0.000 0.000 0.500
Tc: 0.000 0.500 0.000
Tc: 0.500 0.000 0.000
Ge: 0.500 0.500 0.500
Rh: 0.000 0.000 0.000

---

--- B ---
A plane-wave DFT calculation with PBE-GGA was carried out for Tc3GeRh after structural relaxation.

SG: No. 221

abc: 4.470 4.470 4.470
angles: 90.00 90.00 90.00
Fractional positions:
Tc: 0.000 0.000 0.500
Tc: 0.000 0.500 0.000
Tc: 0.500 0.000 0.000
Ge: 0.000 0.000 0.000
Rh: 0.500 0.500 0.500

---

The winner here is B, beating the second structure by 36.9 kJ/mol of atoms.

---

--- A ---
A plane-wave DFT calculation with PBE-GGA was carried out for TcGeRh3 after structural relaxation.

SG: No. 221

abc: 4.503 4.503 4.503
angles: 90.00 90.00 90.00
Fractional positions:
Tc: 0.000 0.000 0.000
Ge: 0.500 0.500 0.500
Rh: 0.000 0.500 0.500
Rh: 0.500 0.000 0.500
Rh: 0.500 0.500 0.000

---

--- B ---
A plane-wave DFT calculation with PBE-GGA was carried out for TcGeRh3 after structural relaxation.

SG: No. 221

abc: 4.674 4.674 4.674
angles: 90.00 90.00 90.00
Fractional positions:
Tc: 0.000 0.000 0.000
Ge: 0.500 0.500 0.500
Rh: 0.000 0.000 0.500
Rh: 0.000 0.500 0.000
Rh: 0.500 0.000 0.000

---

The winner here is A, beating the second structure by 27.4 kJ/mol of atoms.